(1)
## Cs2PbO2 (PBE)

Data for a relaxed structure of Cs2PbO2.

The calculation puts the total magnetization at 0.00 Bohr magnetons per cell. For the density of states at the Fermi level, the calculation gives 0.00 states/eV/atom. Its energy above the lowest structure with this stoichiometry is 0.000 eV per formula unit.

The space group is P-1 (No. 2) and the conventional cell measures 7.986, 8.321 and 11.168 Å, with angles of 76.44, 70.75 and 61.43 degrees. The asymmetric unit holds Cs at (0.003, 0.243, 0.494), Cs at (0.016, 0.048, 0.171), Cs at (0.468, 0.936, 0.854), Cs at (0.490, 0.441, 0.821), Pb at (0.042, 0.558, 0.118), Pb at (0.499, 0.809, 0.473), O at (0.190, 0.318, 0.993), O at (0.213, 0.708, 0.020), O at (0.286, 0.917, 0.362) and O at (0.335, 0.015, 0.620).



(2)
## CsPbO3 (PBE)

Data for a relaxed structure of CsPbO3.

The calculation puts the total magnetization at 1.12 Bohr magnetons per cell. The value obtained for the total energy is -23.00 eV for the cell shown. For the density of states at the Fermi level, the calculation gives 1.07 states/eV/atom.

The space group is Pm-3m (No. 221) and the conventional cell measures 4.479, 4.479 and 4.479 Å, with angles of 90.00, 90.00 and 90.00 degrees. The asymmetric unit holds Cs at (0.000, 0.000, 0.000), Pb at (0.500, 0.500, 0.500) and O at (0.000, 0.500, 0.500).



(3)
## CsPmPbO3 (PBE)

Data for a relaxed structure of CsPmPbO3.

The calculation puts the total magnetization at 0.00 Bohr magnetons per cell. The value obtained for the total energy is -73.47 eV for the cell shown. For the density of states at the Fermi level, the calculation gives 0.00 states/eV/atom.

The space group is P2_1/m (No. 11) and the conventional cell measures 7.602, 3.664 and 10.235 Å, with angles of 90.00, 93.40 and 90.00 degrees. The asymmetric unit holds Cs at (0.129, 0.250, 0.199), Pm at (0.404, 0.250, 0.866), Pb at (0.275, 0.750, 0.582), O at (0.167, 0.250, 0.693), O at (0.333, 0.750, 0.001) and O at (0.493, 0.750, 0.732).



(4)
## Cs2PmPb2O4 (PBE)

Data for a relaxed structure of Cs2PmPb2O4.

The calculation puts the total magnetization at 0.00 Bohr magnetons per cell. The value obtained for the total energy is -97.28 eV for the cell shown. For the density of states at the Fermi level, the calculation gives 0.21 states/eV/atom.

The space group is C2/m (No. 12) and the conventional cell measures 14.348, 3.712 and 9.528 Å, with angles of 90.00, 112.41 and 90.00 degrees. The asymmetric unit holds Cs at (0.186, 0.000, 0.267), Pm at (0.000, 0.000, 0.500), Pb at (0.090, 0.500, 0.842), O at (0.049, 0.500, 0.380) and O at (0.141, 0.000, 0.735).



- Look up the total magnetization of the first one.
  0.00 Bohr magnetons per cell